LiCe2Tm: relaxed, PBE.

Output
Symmetry   R-3m, No. 166
DOS(E_F)   10.054 states/eV per cell
Crystal system   trigonal
VASP energy   -4.336 eV/atom
ΔE_f   0.227 eV per atom
Calculated volume   112.0 Å³ per cell

Cell: 3.243 3.243 12.437 Å, 82.51 82.51 60.00°
Each line ends with the local moment (μB).
Sites, in units of the cell vectors:
Li: 0.000 0.000 0.000  0.00
Ce: 0.913 0.913 0.261  0.52
Ce: 0.087 0.087 0.739  0.52
Tm: 0.500 0.500 0.500  0.01

Li2CeTm: relaxed, PBE.

Output
Symmetry   P4/mmm, No. 123
DOS(E_F)   7.389 states/eV per cell
Crystal system   tetragonal
VASP energy   -3.308 eV/atom
ΔE_f   0.250 eV per atom
Calculated volume   99.7 Å³ per cell

Cell: 3.639 3.639 7.528 Å, 90.00 90.00 90.00°
Each line ends with the local moment (μB).
Sites, in units of the cell vectors:
Li: 0.000 0.000 0.246  0.00
Li: 0.000 0.000 0.754  0.00
Tm: 0.500 0.500 0.000  -0.03
Ce: 0.500 0.500 0.500  0.91

LiCe2Tm: relaxed, PBE.

Output
Symmetry   P4/mmm, No. 123
DOS(E_F)   10.874 states/eV per cell
Crystal system   tetragonal
VASP energy   -4.367 eV/atom
ΔE_f   0.196 eV per atom
Calculated volume   109.4 Å³ per cell

Cell: 3.253 3.253 10.338 Å, 90.00 90.00 90.00°
Each line ends with the local moment (μB).
Sites, in units of the cell vectors:
Tm: 0.500 0.500 0.500  0.04
Ce: 0.000 0.000 0.757  0.69
Ce: 0.000 0.000 0.243  0.69
Li: 0.500 0.500 0.000  0.01

LiCeYTm: relaxed, PBE.

Output
Symmetry   F-43m, No. 216
DOS(E_F)   8.634 states/eV per cell
Crystal system   cubic
VASP energy   -4.466 eV/atom
ΔE_f   0.230 eV per atom
Calculated volume   115.2 Å³ per cell

Cell: 5.462 5.462 5.462 Å, 60.00 60.00 60.00°
Each line ends with the local moment (μB).
Sites, in units of the cell vectors:
Li: 0.500 0.500 0.500  0.00
Ce: 0.750 0.750 0.750  0.84
Y: 0.250 0.250 0.250  0.08
Tm: 0.000 0.000 0.000  0.19

LiCeTmZn: relaxed, PBE.

Output
Symmetry   F-43m, No. 216
DOS(E_F)   7.165 states/eV per cell
Crystal system   cubic
VASP energy   -3.424 eV/atom
ΔE_f   -0.026 eV per atom
Calculated volume   94.2 Å³ per cell

Cell: 5.108 5.108 5.108 Å, 60.00 60.00 60.00°
Each line ends with the local moment (μB).
Sites, in units of the cell vectors:
Zn: 0.750 0.750 0.750  0.00
Tm: 0.000 0.000 0.000  0.08
Ce: 0.500 0.500 0.500  0.72
Li: 0.250 0.250 0.250  0.01

LiCe2Y: relaxed, PBE.

Output
Symmetry   P4/mmm, No. 123
DOS(E_F)   11.210 states/eV per cell
Crystal system   tetragonal
VASP energy   -4.850 eV/atom
ΔE_f   0.211 eV per atom
Calculated volume   112.6 Å³ per cell

Cell: 3.293 3.293 10.378 Å, 90.00 90.00 90.00°
Each line ends with the local moment (μB).
Sites, in units of the cell vectors:
Ce: 0.000 0.000 0.239  0.75
Ce: 0.000 0.000 0.761  0.75
Y: 0.500 0.500 0.500  0.01
Li: 0.500 0.500 0.000  0.02

LiCeY2: relaxed, PBE.

Output
Symmetry   R3m, No. 160
DOS(E_F)   6.907 states/eV per cell
Crystal system   trigonal
VASP energy   -5.049 eV/atom
ΔE_f   0.145 eV per atom
Calculated volume   117.2 Å³ per cell

Cell: 3.461 3.461 11.474 Å, 81.32 81.32 60.00°
Each line ends with the local moment (μB).
Sites, in units of the cell vectors:
Y: 0.081 0.081 0.757  0.02
Y: 0.252 0.252 0.243  0.01
Li: 0.666 0.666 0.001  -0.01
Ce: 0.500 0.500 0.500  0.63

Li4CeY: relaxed, PBE.

Output
Symmetry   F-43m, No. 216
DOS(E_F)   10.808 states/eV per cell
Crystal system   cubic
VASP energy   -3.161 eV/atom
ΔE_f   0.181 eV per atom
Calculated volume   143.7 Å³ per cell

Cell: 5.879 5.879 5.879 Å, 60.00 60.00 60.00°
Each line ends with the local moment (μB).
Sites, in units of the cell vectors:
Li: 0.626 0.626 0.626  0.01
Li: 0.122 0.626 0.626  0.01
Li: 0.626 0.626 0.122  0.01
Li: 0.626 0.122 0.626  0.01
Y: 0.000 0.000 0.000  0.15
Ce: 0.250 0.250 0.250  1.07

Li2CeY: relaxed, PBE.

Output
Symmetry   P4/mmm, No. 123
DOS(E_F)   8.072 states/eV per cell
Crystal system   tetragonal
VASP energy   -3.819 eV/atom
ΔE_f   0.237 eV per atom
Calculated volume   102.4 Å³ per cell

Cell: 3.679 3.679 7.569 Å, 90.00 90.00 90.00°
Each line ends with the local moment (μB).
Sites, in units of the cell vectors:
Ce: 0.500 0.500 0.500  0.90
Y: 0.500 0.500 0.000  -0.04
Li: 0.000 0.000 0.250  0.00
Li: 0.000 0.000 0.750  0.00

LiCeY2: relaxed, PBE.

Output
Symmetry   P4/mmm, No. 123
DOS(E_F)   7.096 states/eV per cell
Crystal system   tetragonal
VASP energy   -5.088 eV/atom
ΔE_f   0.106 eV per atom
Calculated volume   112.4 Å³ per cell

Cell: 3.607 3.607 8.639 Å, 90.00 90.00 90.00°
Each line ends with the local moment (μB).
Sites, in units of the cell vectors:
Ce: 0.500 0.500 0.500  0.30
Y: 0.000 0.000 0.229  0.00
Y: 0.000 0.000 0.771  0.00
Li: 0.500 0.500 0.000  0.00

LiCe2Y: relaxed, PBE.

Output
Symmetry   R-3m, No. 166
DOS(E_F)   10.231 states/eV per cell
Crystal system   trigonal
VASP energy   -4.808 eV/atom
ΔE_f   0.253 eV per atom
Calculated volume   115.8 Å³ per cell

Cell: 3.283 3.283 12.546 Å, 82.48 82.48 60.00°
Each line ends with the local moment (μB).
Sites, in units of the cell vectors:
Li: 0.000 0.000 0.000  0.00
Ce: 0.087 0.087 0.740  0.63
Ce: 0.913 0.913 0.260  0.63
Y: 0.500 0.500 0.500  0.00

LiCeY2: relaxed, PBE.

Output
Symmetry   P4/mmm, No. 123
DOS(E_F)   8.673 states/eV per cell
Crystal system   tetragonal
VASP energy   -4.998 eV/atom
ΔE_f   0.196 eV per atom
Calculated volume   113.8 Å³ per cell

Cell: 3.617 5.608 5.608 Å, 90.00 90.00 90.00°
Each line ends with the local moment (μB).
Sites, in units of the cell vectors:
Ce: 0.500 0.500 0.500  0.38
Y: 0.000 0.500 0.000  0.03
Y: 0.000 0.000 0.500  0.03
Li: 0.500 0.000 0.000  0.00

LiCeY2: relaxed, PBE.

Output
Symmetry   R-3m, No. 166
DOS(E_F)   6.521 states/eV per cell
Crystal system   trigonal
VASP energy   -4.919 eV/atom
ΔE_f   0.274 eV per atom
Calculated volume   113.3 Å³ per cell

Cell: 3.306 3.306 12.125 Å, 82.16 82.16 60.00°
Each line ends with the local moment (μB).
Sites, in units of the cell vectors:
Ce: 0.000 0.000 0.000  0.07
Y: 0.090 0.090 0.730  0.00
Y: 0.910 0.910 0.270  0.00
Li: 0.500 0.500 0.500  0.00

LiCe2Zn: relaxed, PBE.

Output
Symmetry   R-3m, No. 166
DOS(E_F)   7.857 states/eV per cell
Crystal system   trigonal
VASP energy   -3.661 eV/atom
ΔE_f   0.103 eV per atom
Calculated volume   91.6 Å³ per cell

Cell: 3.012 3.012 11.784 Å, 82.66 82.66 60.00°
Sites, in units of the cell vectors:
Li: 0.000 0.000 0.000
Zn: 0.500 0.500 0.500
Ce: 0.091 0.091 0.727
Ce: 0.909 0.909 0.273

LiCe2Zn9: relaxed, PBE.

Output
Symmetry   R-3m, No. 166
DOS(E_F)   13.239 states/eV per cell
Crystal system   trigonal
VASP energy   -2.245 eV/atom
ΔE_f   -0.141 eV per atom
Calculated volume   220.2 Å³ per cell

Cell: 5.371 5.371 9.345 Å, 73.30 73.30 60.00°
Each line ends with the local moment (μB).
Sites, in units of the cell vectors:
Zn: 0.418 0.922 0.242  0.00
Zn: 0.335 0.335 0.995  0.00
Zn: 0.078 0.582 0.758  0.00
Zn: 0.582 0.078 0.758  0.00
Zn: 0.582 0.582 0.758  0.00
Zn: 0.500 0.500 0.500  0.00
Zn: 0.665 0.665 0.005  0.00
Zn: 0.418 0.418 0.242  0.00
Zn: 0.922 0.418 0.242  0.00
Ce: 0.851 0.851 0.446  0.51
Ce: 0.149 0.149 0.554  0.51
Li: 0.000 0.000 0.000  0.00

Li2CeZn: relaxed, PBE.

Output
Symmetry   R-3m, No. 166
DOS(E_F)   4.529 states/eV per cell
Crystal system   trigonal
VASP energy   -2.681 eV/atom
ΔE_f   0.077 eV per atom
Calculated volume   78.5 Å³ per cell

Cell: 2.933 2.933 10.679 Å, 82.11 82.11 60.00°
Each line ends with the local moment (μB).
Sites, in units of the cell vectors:
Li: 0.903 0.903 0.291  0.00
Li: 0.097 0.097 0.709  0.00
Zn: 0.500 0.500 0.500  0.00
Ce: 0.000 0.000 0.000  0.27

LiCe2Zn: relaxed, PBE.

Output
Symmetry   P4/mmm, No. 123
DOS(E_F)   10.611 states/eV per cell
Crystal system   tetragonal
VASP energy   -3.730 eV/atom
ΔE_f   0.034 eV per atom
Calculated volume   100.7 Å³ per cell

Cell: 3.852 3.852 6.784 Å, 90.00 90.00 90.00°
Each line ends with the local moment (μB).
Sites, in units of the cell vectors:
Ce: 0.000 0.000 0.210  0.84
Ce: 0.000 0.000 0.790  0.84
Zn: 0.500 0.500 0.000  0.01
Li: 0.500 0.500 0.500  0.01

Li2CeZn9: relaxed, PBE.

Output
Symmetry   R-3m, No. 166
DOS(E_F)   9.747 states/eV per cell
Crystal system   trigonal
VASP energy   -1.956 eV/atom
ΔE_f   -0.187 eV per atom
Calculated volume   203.4 Å³ per cell

Cell: 5.264 5.264 9.003 Å, 73.00 73.00 60.00°
Each line ends with the local moment (μB).
Sites, in units of the cell vectors:
Li: 0.857 0.857 0.428  0.00
Li: 0.143 0.143 0.572  0.00
Ce: 0.000 0.000 0.000  0.74
Zn: 0.081 0.590 0.740  0.01
Zn: 0.666 0.666 0.003  0.01
Zn: 0.410 0.919 0.260  0.01
Zn: 0.334 0.334 0.997  0.01
Zn: 0.590 0.590 0.740  0.01
Zn: 0.500 0.500 0.500  0.01
Zn: 0.410 0.410 0.260  0.01
Zn: 0.919 0.410 0.260  0.01
Zn: 0.590 0.081 0.740  0.01

LiCe2Zn6: relaxed, PBE.

Output
Symmetry   P6/mmm, No. 191
DOS(E_F)   11.014 states/eV per cell
Crystal system   hexagonal
VASP energy   -2.591 eV/atom
ΔE_f   -0.211 eV per atom
Calculated volume   173.3 Å³ per cell

Cell: 3.128 8.000 8.000 Å, 60.00 89.99 89.99°
Each line ends with the local moment (μB).
Sites, in units of the cell vectors:
Zn: 0.500 0.000 0.680  0.00
Zn: 0.500 0.680 0.320  0.00
Zn: 0.500 0.000 0.320  0.00
Zn: 0.500 0.320 0.000  0.00
Zn: 0.500 0.680 0.000  0.00
Zn: 0.500 0.320 0.680  0.00
Ce: 0.000 0.333 0.333  0.66
Ce: 0.000 0.667 0.667  0.66
Li: 0.000 0.000 0.000  0.00

Li2CeZn4: relaxed, PBE.

Output
Symmetry   Immm, No. 71
DOS(E_F)   5.782 states/eV per cell
Crystal system   orthorhombic
VASP energy   -2.285 eV/atom
ΔE_f   -0.163 eV per atom
Calculated volume   126.4 Å³ per cell

Cell: 4.569 2.987 9.654 Å, 98.90 103.69 90.00°
Each line ends with the local moment (μB).
Sites, in units of the cell vectors:
Zn: 0.348 0.348 0.696  0.00
Zn: 0.921 0.421 0.841  0.01
Zn: 0.079 0.579 0.159  0.01
Zn: 0.652 0.652 0.304  0.00
Li: 0.798 0.798 0.595  0.00
Li: 0.202 0.202 0.405  0.00
Ce: 0.500 0.000 0.000  0.68